<i>
The following is a PBE calculation of a relaxed structure of NaScBe3, from Alexandria.

It has space group Pm-3m (No. 221), with a = 5.010 Å, b = 5.010 Å, c = 5.010 Å, α = 90.00°, β = 90.00° and γ = 90.00°. The inequivalent atoms are Na at (0.000, 0.000, 0.000), Sc at (0.500, 0.500, 0.500) and Be at (0.000, 0.500, 0.500).

<ii>
The following is a PBE calculation of a relaxed structure of NaScBe3, from Alexandria.

It has space group Pm-3m (No. 221), with a = 4.336 Å, b = 4.336 Å, c = 4.336 Å, α = 90.00°, β = 90.00° and γ = 90.00°. The inequivalent atoms are Na at (0.000, 0.000, 0.000), Sc at (0.500, 0.500, 0.500) and Be at (0.000, 0.000, 0.500).

Result of the stability comparison: <ii> is the most stable of them.

<i>
The following is a PBE calculation of a relaxed structure of Na2BeSe, from Alexandria.

It has space group I-42d (No. 122), with a = 4.046 Å, b = 4.046 Å, c = 20.502 Å, α = 90.00°, β = 90.00° and γ = 90.00°. The inequivalent atoms are Na at (0.241, 0.250, 0.125), Be at (0.000, 0.000, 0.500) and Se at (0.000, 0.000, 0.000).

<ii>
The following is a PBE calculation of a relaxed structure of Na2BeSe, from Alexandria.

It has space group Fm-3m (No. 225), with a = 7.052 Å, b = 7.052 Å, c = 7.052 Å, α = 90.00°, β = 90.00° and γ = 90.00°. The inequivalent atoms are Na at (0.250, 0.250, 0.250), Be at (0.000, 0.000, 0.000) and Se at (0.000, 0.000, 0.500).

Result of the stability comparison: <ii> is the most stable of them.

<i>
The following is a PBE calculation of a relaxed structure of NaBeSi3, from Alexandria.

It has space group Pm-3m (No. 221), with a = 4.874 Å, b = 4.874 Å, c = 4.874 Å, α = 90.00°, β = 90.00° and γ = 90.00°. The inequivalent atoms are Na at (0.000, 0.000, 0.000), Be at (0.500, 0.500, 0.500) and Si at (0.000, 0.000, 0.500).

<ii>
The following is a PBE calculation of a relaxed structure of NaBeSi3, from Alexandria.

It has space group Pm-3m (No. 221), with a = 4.449 Å, b = 4.449 Å, c = 4.449 Å, α = 90.00°, β = 90.00° and γ = 90.00°. The inequivalent atoms are Na at (0.000, 0.000, 0.000), Be at (0.500, 0.500, 0.500) and Si at (0.000, 0.500, 0.500).

Result of the stability comparison: <ii> is the most stable of them.

<i>
The following is a PBE calculation of a relaxed structure of Na2BeSi, from Alexandria.

It has space group Fm-3m (No. 225), with a = 6.790 Å, b = 6.790 Å, c = 6.790 Å, α = 90.00°, β = 90.00° and γ = 90.00°. The inequivalent atoms are Na at (0.250, 0.250, 0.250), Be at (0.000, 0.000, 0.000) and Si at (0.000, 0.000, 0.500).

<ii>
The following is a PBE calculation of a relaxed structure of Na2BeSi, from Alexandria.

It has space group I-42d (No. 122), with a = 10.904 Å, b = 10.904 Å, c = 4.088 Å, α = 90.00°, β = 90.00° and γ = 90.00°. The inequivalent atoms are Na at (0.020, 0.750, 0.125), Be at (0.000, 0.000, 0.000) and Si at (0.000, 0.000, 0.500).

Result of the stability comparison: <ii> is the most stable of them.

<i>
The following is a PBE calculation of a relaxed structure of Na3BeSn, from Alexandria.

It has space group Pm-3m (No. 221), with a = 5.292 Å, b = 5.292 Å, c = 5.292 Å, α = 90.00°, β = 90.00° and γ = 90.00°. The inequivalent atoms are Na at (0.000, 0.000, 0.500), Be at (0.000, 0.000, 0.000) and Sn at (0.500, 0.500, 0.500).

<ii>
The following is a PBE calculation of a relaxed structure of Na3BeSn, from Alexandria.

It has space group Pm-3m (No. 221), with a = 5.932 Å, b = 5.932 Å, c = 5.932 Å, α = 90.00°, β = 90.00° and γ = 90.00°. The inequivalent atoms are Na at (0.000, 0.000, 0.500), Be at (0.500, 0.500, 0.500) and Sn at (0.000, 0.000, 0.000).

Result of the stability comparison: <i> is the most stable of them.

<i>
The following is a PBE calculation of a relaxed structure of NaBe2Sn2, from Alexandria.

It has space group I4/mmm (No. 139), with a = 4.195 Å, b = 4.195 Å, c = 11.371 Å, α = 90.00°, β = 90.00° and γ = 90.00°. The inequivalent atoms are Na at (0.000, 0.000, 0.000), Be at (0.000, 0.500, 0.250) and Sn at (0.000, 0.000, 0.374).

<ii>
The following is a PBE calculation of a relaxed structure of NaBe2Sn2, from Alexandria.

It has space group P4/mbm (No. 127), with a = 7.600 Å, b = 7.600 Å, c = 3.307 Å, α = 90.00°, β = 90.00° and γ = 90.00°. The inequivalent atoms are Na at (0.000, 0.000, 0.000), Be at (0.107, 0.393, 0.000) and Sn at (0.181, 0.681, 0.500).

Result of the stability comparison: <i> is the most stable of them.

<i>
The following is a PBE calculation of a relaxed structure of Na3SrBe, from Alexandria.

It has space group Pm-3m (No. 221), with a = 5.578 Å, b = 5.578 Å, c = 5.578 Å, α = 90.00°, β = 90.00° and γ = 90.00°. The inequivalent atoms are Na at (0.000, 0.000, 0.500), Sr at (0.500, 0.500, 0.500) and Be at (0.000, 0.000, 0.000).

<ii>
The following is a PBE calculation of a relaxed structure of Na3SrBe, from Alexandria.

It has space group Pm-3m (No. 221), with a = 7.114 Å, b = 7.114 Å, c = 7.114 Å, α = 90.00°, β = 90.00° and γ = 90.00°. The inequivalent atoms are Na at (0.000, 0.000, 0.500), Sr at (0.000, 0.000, 0.000) and Be at (0.500, 0.500, 0.500).

Result of the stability comparison: <i> is the most stable of them.

<i>
The following is a PBE calculation of a relaxed structure of NaTaBe, from Alexandria.

It has space group Pm (No. 6), with a = 2.881 Å, b = 2.881 Å, c = 12.998 Å, α = 90.00°, β = 90.16° and γ = 90.00°. The inequivalent atoms are Na at (0.000, 0.000, 0.000), Na at (0.491, 0.500, 0.245), Ta at (0.001, 0.000, 0.709), Ta at (0.997, 0.000, 0.459), Be at (0.500, 0.500, 0.580) and Be at (0.502, 0.500, 0.827).

<ii>
The following is a PBE calculation of a relaxed structure of NaTaBe, from Alexandria.

It has space group P-1 (No. 2), with a = 2.671 Å, b = 6.425 Å, c = 6.636 Å, α = 103.13°, β = 90.41° and γ = 101.78°. The inequivalent atoms are Na at (0.149, 0.282, 0.062), Ta at (0.145, 0.293, 0.538) and Be at (0.489, 0.982, 0.321).

Result of the stability comparison: <i> is the most stable of them.

<i>
The following is a PBE calculation of a relaxed structure of NaTaBe, from Alexandria.

It has space group Cmcm (No. 63), with a = 2.810 Å, b = 14.085 Å, c = 5.697 Å, α = 90.00°, β = 90.00° and γ = 90.00°. The inequivalent atoms are Na at (0.000, 0.193, 0.250), Ta at (0.000, 0.500, 0.000) and Be at (0.000, 0.111, 0.750).

<ii>
The following is a PBE calculation of a relaxed structure of NaTaBe, from Alexandria.

It has space group P1 (No. 1), with a = 2.964 Å, b = 3.564 Å, c = 11.443 Å, α = 89.72°, β = 82.81° and γ = 89.99°. The inequivalent atoms are Na at (0.000, 0.000, 0.000), Na at (0.165, 0.496, 0.711), Ta at (0.300, 0.497, 0.431), Ta at (0.873, 0.999, 0.279), Be at (0.418, 0.501, 0.186) and Be at (0.755, 0.996, 0.524).

Result of the stability comparison: <ii> is the most stable of them.

<i>
The following is a PBE calculation of a relaxed structure of NaTa3Be, from Alexandria.

It has space group Pm-3m (No. 221), with a = 4.523 Å, b = 4.523 Å, c = 4.523 Å, α = 90.00°, β = 90.00° and γ = 90.00°. The inequivalent atoms are Na at (0.000, 0.000, 0.000), Ta at (0.000, 0.500, 0.500) and Be at (0.500, 0.500, 0.500).

<ii>
The following is a PBE calculation of a relaxed structure of NaTa3Be, from Alexandria.

It has space group Pm-3m (No. 221), with a = 4.617 Å, b = 4.617 Å, c = 4.617 Å, α = 90.00°, β = 90.00° and γ = 90.00°. The inequivalent atoms are Na at (0.000, 0.000, 0.000), Ta at (0.000, 0.000, 0.500) and Be at (0.500, 0.500, 0.500).

Result of the stability comparison: <i> is the most stable of them.

<i>
The following is a PBE calculation of a relaxed structure of Na3TaBe, from Alexandria.

It has space group Pm-3m (No. 221), with a = 5.963 Å, b = 5.963 Å, c = 5.963 Å, α = 90.00°, β = 90.00° and γ = 90.00°. The inequivalent atoms are Na at (0.000, 0.000, 0.500), Ta at (0.000, 0.000, 0.000) and Be at (0.500, 0.500, 0.500).

<ii>
The following is a PBE calculation of a relaxed structure of Na3TaBe, from Alexandria.

It has space group Pm-3m (No. 221), with a = 5.034 Å, b = 5.034 Å, c = 5.034 Å, α = 90.00°, β = 90.00° and γ = 90.00°. The inequivalent atoms are Na at (0.000, 0.000, 0.500), Ta at (0.500, 0.500, 0.500) and Be at (0.000, 0.000, 0.000).

Result of the stability comparison: <ii> is the most stable of them.

<i>
The following is a PBE calculation of a relaxed structure of NaBe3Tc, from Alexandria.

It has space group Pm-3m (No. 221), with a = 4.350 Å, b = 4.350 Å, c = 4.350 Å, α = 90.00°, β = 90.00° and γ = 90.00°. The inequivalent atoms are Na at (0.000, 0.000, 0.000), Be at (0.000, 0.500, 0.500) and Tc at (0.500, 0.500, 0.500).

<ii>
The following is a PBE calculation of a relaxed structure of NaBe3Tc, from Alexandria.

It has space group Pm-3m (No. 221), with a = 4.006 Å, b = 4.006 Å, c = 4.006 Å, α = 90.00°, β = 90.00° and γ = 90.00°. The inequivalent atoms are Na at (0.000, 0.000, 0.000), Be at (0.000, 0.000, 0.500) and Tc at (0.500, 0.500, 0.500).

Result of the stability comparison: <i> is the most stable of them.

<i>
The following is a PBE calculation of a relaxed structure of Na2BeTc2, from Alexandria.

It has space group P4/mbm (No. 127), with a = 5.846 Å, b = 5.846 Å, c = 5.362 Å, α = 90.00°, β = 90.00° and γ = 90.00°. The inequivalent atoms are Na at (0.180, 0.320, 0.000), Be at (0.000, 0.000, 0.500) and Tc at (0.139, 0.639, 0.500).

<ii>
The following is a PBE calculation of a relaxed structure of Na2BeTc2, from Alexandria.

It has space group I4/mmm (No. 139), with a = 3.342 Å, b = 3.342 Å, c = 14.982 Å, α = 90.00°, β = 90.00° and γ = 90.00°. The inequivalent atoms are Na at (0.000, 0.500, 0.250), Be at (0.000, 0.000, 0.000) and Tc at (0.000, 0.000, 0.427).

Result of the stability comparison: <i> is the most stable of them.

<i>
The following is a PBE calculation of a relaxed structure of Na3BeTe, from Alexandria.

It has space group Pm-3m (No. 221), with a = 5.873 Å, b = 5.873 Å, c = 5.873 Å, α = 90.00°, β = 90.00° and γ = 90.00°. The inequivalent atoms are Na at (0.000, 0.000, 0.500), Be at (0.500, 0.500, 0.500) and Te at (0.000, 0.000, 0.000).

<ii>
The following is a PBE calculation of a relaxed structure of Na3BeTe, from Alexandria.

It has space group Pm-3m (No. 221), with a = 5.281 Å, b = 5.281 Å, c = 5.281 Å, α = 90.00°, β = 90.00° and γ = 90.00°. The inequivalent atoms are Na at (0.000, 0.000, 0.500), Be at (0.000, 0.000, 0.000) and Te at (0.500, 0.500, 0.500).

Result of the stability comparison: <i> is the most stable of them.